# 1
The following is a PBE calculation of a relaxed structure of Ho4Rh6O19, from Alexandria.

Raw formation energy: -1.60 eV/atom
E_tot: -7.0016 eV/atom
V: 12.5 Å³/atom
Magnetic moment: 14.450 μB per cell

Cell lengths 8.983, 8.983, 8.983 Å; angles 90.00, 90.00, 90.00 degrees
Space group I23 (No. 197)
Unique sites:
Ho 0.147 0.147 0.147 [8 per cell]
Rh 0.000 0.161 0.500 [12 per cell]
O 0.000 0.000 0.000 [2 per cell]
O 0.000 0.000 0.338 [12 per cell]
O 0.024 0.284 0.319 [24 per cell]


# 2
The following is a PBE calculation of a relaxed structure of La2PrIr, from Alexandria.

Formation energy from the elements: -1.17 eV/f.u.
E_tot: -6.1662 eV/atom
V: 30.7 Å³/atom
Energy relative to the lowest polymorph listed for this composition: 0.175 eV/atom
Magnetic moment: 0.001 μB per cell

Cell lengths 3.675, 3.675, 9.098 Å; angles 90.00, 90.00, 90.00 degrees
Space group P4/mmm (No. 123)
Unique sites:
La 0.000 0.000 0.183 [2 per cell]
Pr 0.500 0.500 0.500 [1 per cell]
Ir 0.500 0.500 0.000 [1 per cell]


# 3
The following is a PBE calculation of a relaxed structure of K3Hg5, from Alexandria.

Formation energy from the elements: -1.47 eV/f.u.
E_tot: -0.7841 eV/atom
V: 34.6 Å³/atom
Energy relative to the lowest polymorph listed for this composition: 0.071 eV/atom
Magnetic moment: 0.000 μB per cell

Cell lengths 6.563, 18.290, 9.769 Å; angles 90.00, 109.44, 90.00 degrees
Space group C2 (No. 5)
Unique sites:
K 0.000 0.000 0.000 [2 per cell]
K 0.000 0.082 0.500 [2 per cell]
K 0.000 0.417 0.500 [2 per cell]
K 0.000 0.500 0.000 [2 per cell]
K 0.168 0.750 0.836 [4 per cell]
Hg 0.089 0.916 0.678 [4 per cell]
Hg 0.090 0.583 0.678 [4 per cell]
Hg 0.168 0.160 0.834 [4 per cell]
Hg 0.169 0.340 0.836 [4 per cell]
Hg 0.249 0.249 0.499 [4 per cell]